(1)
VASP calculation (GGA-PBEsol) on LaRhBr after structural relaxation.

Structure (POSCAR):
```
LaRhBr
1.0
-0.474 -0.736 3.525
-2.298 -2.676 -0.868
5.409 -1.694 -1.497
Rh La Br
1 1 1
direct
0.308 0.308 0.616
0.698 0.698 0.397
0.993 0.993 0.987
```

Computed properties:
The uncorrected formation energy comes out at -184 kJ/mol of formula units. The value obtained for the volume is 69.5 Å³ per cell. The density of states at the Fermi level is 0.631 states/eV/atom.


(2)
VASP calculation (GGA-PBEsol) on LaRhBr after structural relaxation.

Structure (POSCAR):
```
LaRhBr
1.0
-3.061 -2.068 0.710
0.441 -1.999 -3.918
1.972 -1.689 3.578
Rh La Br
1 1 1
direct
0.500 0.333 0.667
0.000 0.667 0.333
0.500 0.000 0.000
```

Computed properties:
The uncorrected formation energy comes out at -216 kJ/mol of formula units. The value obtained for the volume is 63.7 Å³ per cell. The density of states at the Fermi level is 0.789 states/eV/atom.


(3)
VASP calculation (GGA-PBEsol) on LaRhBr3 after structural relaxation.

Structure (POSCAR):
```
LaRhBr3
1.0
5.724 0.000 0.000
0.000 5.724 0.000
0.000 0.000 5.724
Br La Rh
3 1 1
direct
0.000 0.500 0.000
0.000 0.000 0.500
0.500 0.000 0.000
0.000 0.000 0.000
0.500 0.500 0.500
```

Computed properties:
The uncorrected formation energy comes out at -122 kJ/mol of formula units. The value obtained for the volume is 187.5 Å³ per cell. The density of states at the Fermi level is 1.377 states/eV/atom.